[1]
5
Lattice="4.924 0.000 0.000 0.000 4.924 0.000 0.000 0.000 4.924" Properties=species:S:1:pos:R:3 comment="HfAsSe3, relaxed, DFT PBE" dos_ef_per_ev_atom=0.97 e_tot_ev_per_atom=-4.626 pbc="T T T"
Hf 0.000 0.000 0.000
As 2.462 2.462 2.462
Se 0.000 2.462 2.462
Se 2.462 0.000 2.462
Se 2.462 2.462 0.000

---

[2]
12
Lattice="4.213 -6.198 0.000 4.213 6.198 0.000 -1.977 0.000 7.365" Properties=species:S:1:pos:R:3 comment="Ac3Ag2Ir, relaxed, DFT PBE" dos_ef_per_ev_atom=0.55 formation_enthalpy_0k_ev_per_atom=-0.387 e_tot_ev_per_atom=-4.869 pbc="T T T"
Ac 2.107 3.099 0.000
Ac 0.705 0.998 3.467
Ac -0.284 -0.998 7.150
Ac 1.118 -3.099 3.683
Ac 6.733 0.998 0.216
Ac 5.745 -0.998 3.898
Ag 2.731 2.486 5.524
Ag 3.719 0.663 1.841
Ag 2.731 -0.663 5.524
Ag 3.719 -2.486 1.841
Ir 3.719 5.004 1.841
Ir 2.731 -5.004 5.524

---

[3]
5
Lattice="4.801 0.000 0.000 0.000 4.801 0.000 0.000 0.000 4.490" Properties=species:S:1:pos:R:3 comment="RbNaN2O, relaxed, DFT PBE" dos_ef_per_ev_atom=0.61 e_tot_ev_per_atom=-3.515 pbc="T T T"
Rb 0.000 0.000 0.000
Na 2.400 2.400 2.245
N 0.000 2.400 2.245
N 2.400 0.000 2.245
O 2.400 2.400 0.000